This record from the Alexandria database describes crystalline KV2Pd2O7 at its relaxed geometry. The functional is GGA+U.

DOS(E_F), states/eV/f.u.: 5.86
Total magnetization, μB/f.u.: 3.047
Space group: R32
Total energy, eV/atom: -6.32

extended XYZ file:
```
12
Lattice="5.8443 0.0000 0.0000 2.9222 5.0614 0.0000 2.9222 1.6871 8.3258" Properties=species:S:1:pos:R:3 pbc="T T T"
O 4.5541 5.1619 2.3872
O 8.0376 3.5978 2.3872
O 0.0000 0.0000 0.0000
O 4.5541 1.5866 5.9386
O 4.9413 1.3630 2.3872
O 4.9413 5.3854 5.9386
O 8.0376 3.1507 5.9386
Pd 8.7665 5.0614 6.0742
Pd 2.9222 1.6871 2.2515
K 5.8443 3.3742 4.1629
V 2.9222 1.6871 6.5221
V 8.7665 5.0614 1.8037
```